Entry 1:
SrCrClF2 | GGA+U | optimized geometry

Total DFT energy (no corrections) (eV per cell): -25.71
Fermi-level density of states (states/eV/cell): 0.00

a b c (Å): 4.608 4.608 5.948
angles (deg): 90.00 90.00 90.00
Space group P4/mmm (No. 123)
One atom of each set of equivalent atoms:
Sr: 0.000 0.000 0.000 x1
Cr: 0.500 0.500 0.500 x1
Cl: 0.000 0.000 0.500 x1
F: 0.000 0.500 0.000 x2


Entry 2:
Sr3CrCl2F6 | GGA+U | optimized geometry

Total DFT energy (no corrections) (eV per cell): -128.88
Fermi-level density of states (states/eV/cell): 0.00

a b c (Å): 12.875 7.423 5.406
angles (deg): 90.00 97.70 90.00
Space group C2/m (No. 12)
One atom of each set of equivalent atoms:
Sr: 0.000 0.000 0.000 x2
Sr: 0.250 0.250 0.500 x4
Cr: 0.000 0.500 0.500 x2
Cl: 0.208 0.000 0.876 x4
F: 0.066 0.243 0.301 x8
F: 0.152 0.500 0.641 x4


Entry 3:
Tl2CrCl3F | GGA+U | optimized geometry

Total DFT energy (no corrections) (eV per cell): -58.70

a b c (Å): 4.058 5.367 16.753
angles (deg): 90.00 90.00 90.00
Space group Immm (No. 71)
One atom of each set of equivalent atoms:
Tl: 0.000 0.000 0.148 x4
Cr: 0.000 0.000 0.500 x2
Cl: 0.000 0.000 0.347 x4
Cl: 0.000 0.500 0.500 x2
F: 0.000 0.500 0.000 x2


Entry 4:
ZnCrCl2F | GGA+U | optimized geometry

Total DFT energy (no corrections) (eV per cell): -17.64
Fermi-level density of states (states/eV/cell): 2.19

a b c (Å): 5.535 5.535 3.739
angles (deg): 90.00 90.00 90.00
Space group P4/mmm (No. 123)
One atom of each set of equivalent atoms:
Zn: 0.000 0.000 0.000 x1
Cr: 0.500 0.500 0.000 x1
Cl: 0.000 0.500 0.500 x2
F: 0.500 0.500 0.500 x1